Arrangement a

K2SrI, relaxed, DFT PBE; space-group type = R-3m (166); density = 2.10 Mg/m³; total moment = 0.0 μB per formula unit; N(E_F) = 1.4 states/eV/f.u.; calculated volume = 231.58 Å³ per cell
1.0
-3.633 -0.737 2.620
-2.187 -3.971 -0.218
5.743 -6.314 10.121
I Sr K
1 1 2
Direct
0.500 0.500 0.500 I
0.000 0.000 0.000 Sr
0.107 0.107 0.679 K
0.893 0.893 0.321 K


Arrangement b

K2SrI, relaxed, DFT PBE; space-group type = Fm-3m (225); density = 2.12 Mg/m³; total moment = 0.0 μB per formula unit; N(E_F) = 6.1 states/eV/f.u.; calculated volume = 228.99 Å³ per cell
1.0
0.000 4.856 4.856
4.856 0.000 4.856
4.856 4.856 0.000
I Sr K
1 1 2
Direct
0.500 0.500 0.500 I
0.000 0.000 0.000 Sr
0.250 0.250 0.250 K
0.750 0.750 0.750 K


Stability check: which of them is most stable? arrangement a.


Arrangement a

K2SrI, relaxed, DFT PBE; space-group type = I-42d (122); density = 2.07 Mg/m³; total moment = 0.0 μB per formula unit; N(E_F) = 2.4 states/eV/f.u.; calculated volume = 470.46 Å³ per cell
1.0
11.344 0.000 0.000
0.000 11.344 0.000
5.672 5.672 3.656
I Sr K
2 2 4
Direct
0.000 0.000 0.000 I
0.750 0.250 0.500 I
0.500 0.500 0.000 Sr
0.250 0.750 0.500 Sr
0.703 0.125 0.250 K
0.047 0.625 0.250 K
0.375 0.297 0.750 K
0.875 0.953 0.750 K


Arrangement b

K2SrI, relaxed, DFT PBE; space-group type = P4/mmm (123); density = 2.29 Mg/m³; total moment = 0.3 μB per formula unit; N(E_F) = 3.3 states/eV/f.u.; calculated volume = 212.04 Å³ per cell
1.0
-2.218 2.858 -2.300
-3.006 0.124 3.053
5.660 8.594 5.223
I Sr K
1 1 2
Direct
0.500 0.500 0.000 I
0.500 0.500 0.500 Sr
0.000 0.000 0.816 K
0.000 0.000 0.184 K


Stability check: which of them is most stable? arrangement b.


Arrangement a

KSr2I5, relaxed, DFT PBE; space-group type = P2_1/c (14); density = 4.21 Mg/m³; total moment = 0.0 μB per formula unit; N(E_F) = 0.0 states/eV/f.u.; calculated volume = 1340.06 Å³ per cell
1.0
9.101 0.000 0.000
0.000 10.078 0.004
0.000 0.022 14.610
K Sr I
4 8 20
Direct
0.038 0.507 0.327 K
0.962 0.493 0.673 K
0.538 0.493 0.173 K
0.462 0.507 0.827 K
0.022 0.003 0.320 Sr
0.978 0.997 0.680 Sr
0.522 0.997 0.180 Sr
0.478 0.003 0.820 Sr
0.071 0.250 0.005 Sr
0.929 0.750 0.995 Sr
0.571 0.750 0.495 Sr
0.429 0.250 0.505 Sr
0.169 0.536 0.092 I
0.831 0.464 0.908 I
0.669 0.464 0.408 I
0.331 0.536 0.592 I
0.831 0.220 0.181 I
0.169 0.780 0.819 I
0.331 0.780 0.319 I
0.669 0.220 0.681 I
0.308 0.232 0.285 I
0.692 0.768 0.715 I
0.808 0.768 0.215 I
0.192 0.232 0.785 I
0.457 0.219 0.002 I
0.543 0.781 0.998 I
0.957 0.781 0.498 I
0.043 0.219 0.502 I
0.661 0.039 0.399 I
0.339 0.961 0.601 I
0.161 0.961 0.101 I
0.839 0.039 0.899 I


Arrangement b

KSr2I5, relaxed, DFT PBE; space-group type = Immm (71); density = 3.89 Mg/m³; total moment = 0.0 μB per formula unit; N(E_F) = 0.0 states/eV/f.u.; calculated volume = 362.36 Å³ per cell
1.0
4.896 0.000 -0.973
-0.705 7.545 -3.549
-0.571 -0.021 9.933
K Sr I
1 2 5
Direct
0.000 0.000 0.000 K
0.187 0.687 0.374 Sr
0.813 0.313 0.626 Sr
0.000 0.500 0.000 I
0.652 0.388 0.305 I
0.348 0.612 0.695 I
0.652 0.917 0.305 I
0.348 0.083 0.695 I


Stability check: which of them is most stable? arrangement a.


Arrangement a

KSrI2, relaxed, DFT PBE; space-group type = P4/mmm (123); density = 4.11 Mg/m³; total moment = 0.4 μB per formula unit; N(E_F) = 2.2 states/eV/f.u.; calculated volume = 153.65 Å³ per cell
1.0
-2.642 -3.184 -0.733
1.043 -1.716 3.691
-6.413 4.430 3.871
I Sr K
2 1 1
Direct
0.000 0.000 0.770 I
0.000 0.000 0.230 I
0.500 0.500 0.000 Sr
0.500 0.500 0.500 K


Arrangement b

KSrI2, relaxed, DFT PBE; space-group type = Fm-3m (225); density = 4.04 Mg/m³; total moment = 0.0 μB per formula unit; N(E_F) = 2.5 states/eV/f.u.; calculated volume = 156.51 Å³ per cell
1.0
0.000 4.277 4.277
4.277 0.000 4.277
4.277 4.277 0.000
I Sr K
2 1 1
Direct
0.250 0.250 0.250 I
0.750 0.750 0.750 I
0.500 0.500 0.500 Sr
0.000 0.000 0.000 K


Stability check: which of them is most stable? arrangement a.


Arrangement a

KSrI2, relaxed, DFT PBE; space-group type = R3m (160); density = 3.73 Mg/m³; total moment = 0.9 μB per formula unit; N(E_F) = 0.8 states/eV/f.u.; calculated volume = 169.56 Å³ per cell
1.0
-2.059 2.108 3.520
-3.734 -1.855 1.920
3.454 -4.595 7.766
K Sr I
1 1 2
Direct
0.668 0.668 0.997 K
0.499 0.499 0.502 Sr
0.084 0.084 0.749 I
0.249 0.249 0.252 I


Arrangement b

KSrI2, relaxed, DFT PBE; space-group type = I-42d (122); density = 2.60 Mg/m³; total moment = 0.6 μB per formula unit; N(E_F) = 3.8 states/eV/f.u.; calculated volume = 486.48 Å³ per cell
1.0
-4.517 0.602 -6.528
-6.440 -1.893 4.282
-6.663 6.786 0.381
I Sr K
4 2 2
Direct
0.651 0.125 0.250 I
0.099 0.625 0.250 I
0.375 0.349 0.750 I
0.875 0.901 0.750 I
0.000 0.000 0.000 Sr
0.750 0.250 0.500 Sr
0.500 0.500 0.000 K
0.250 0.750 0.500 K


Arrangement c

KSrI2, relaxed, DFT PBE; space-group type = R-3m (166); density = 2.72 Mg/m³; total moment = 0.0 μB per formula unit; N(E_F) = 1.2 states/eV/f.u.; calculated volume = 231.93 Å³ per cell
1.0
-0.011 4.566 1.404
0.557 1.080 4.619
11.811 2.376 0.490
I Sr K
2 1 1
Direct
0.114 0.114 0.657 I
0.886 0.886 0.343 I
0.500 0.500 0.500 Sr
0.000 0.000 0.000 K


Stability check: which of them is most stable? arrangement a.


Arrangement a

KSr2I2, relaxed, DFT PBE; space-group type = I4/mmm (139); density = 3.18 Mg/m³; total moment = 1.0 μB per formula unit; N(E_F) = 2.5 states/eV/f.u.; calculated volume = 244.63 Å³ per cell
1.0
-3.273 -3.552 -1.929
2.118 -3.621 3.075
-6.563 -1.589 7.049
I Sr K
2 2 1
Direct
0.391 0.391 0.217 I
0.609 0.609 0.783 I
0.750 0.250 0.500 Sr
0.250 0.750 0.500 Sr
0.000 0.000 0.000 K


Arrangement b

KSr2I2, relaxed, DFT PBE; space-group type = I4/mmm (139); density = 2.96 Mg/m³; total moment = 0.0 μB per formula unit; N(E_F) = 3.0 states/eV/f.u.; calculated volume = 262.79 Å³ per cell
1.0
-4.658 -0.724 3.430
3.190 -3.239 3.649
1.192 4.375 7.497
I Sr K
2 2 1
Direct
0.750 0.250 0.500 I
0.250 0.750 0.500 I
0.368 0.368 0.264 Sr
0.632 0.632 0.736 Sr
0.000 0.000 0.000 K


Stability check: which of them is most stable? arrangement b.